# 1
The following is a DFT calculation (GGA-PBE) of Ce10Ge6C after structural relaxation.

Cell and atoms, written as extended XYZ:
```
17
Lattice="8.821 0.000 0.000 -4.410 7.639 0.000 0.000 0.000 6.284" Properties=species:S:1:pos:R:3 pbc="T T T"
Ce -1.053 1.824 1.683
Ce -3.357 5.815 4.601
Ce 2.106 0.000 1.683
Ce 1.053 1.824 4.601
Ce 0.000 5.093 0.000
Ce 0.000 5.093 3.142
Ce 4.410 2.546 0.000
Ce 4.410 2.546 3.142
Ce 6.715 0.000 4.601
Ce 3.357 5.815 1.683
Ge -1.728 2.993 4.732
Ge -2.682 4.646 1.552
Ge 3.456 0.000 4.732
Ge 1.728 2.993 1.552
Ge 5.365 0.000 1.552
Ge 2.682 4.646 4.732
C 0.000 0.000 3.142
```

Properties
The space-group type is P-31m (162). For the density, the calculation gives 7.3 Mg/m³. For the energy, the calculation gives -6.26 eV/atom. The density of states at the Fermi level is 41.07 states/eV/cell. The calculation puts the formation energy from the elements at -602 meV/atom.



# 2
The following is a DFT calculation (GGA-PBE) of Ce6Ge2C after structural relaxation.

Cell and atoms, written as extended XYZ:
```
9
Lattice="-3.209 3.209 5.009 3.209 -3.209 5.009 3.209 3.209 -5.009" Properties=species:S:1:pos:R:3 pbc="T T T"
Ce 0.000 0.000 2.380
Ce 1.745 1.745 0.000
Ce 1.464 -1.464 5.009
Ce -1.464 1.464 5.009
Ce 1.464 1.464 5.009
Ce 0.000 0.000 7.638
Ge 3.209 0.000 2.504
Ge 0.000 3.209 2.504
C 0.000 0.000 0.000
```

Properties
The space-group type is I4/mmm (139). The value obtained for the energy above the most stable polymorph in this dataset is 0.0000 eV/atom. For the density, the calculation gives 8.0 Mg/m³. For the energy, the calculation gives -6.42 eV/atom. The density of states at the Fermi level is 20.58 states/eV/cell. The calculation puts the formation energy from the elements at -414 meV/atom.



# 3
The following is a DFT calculation (GGA-PBE) of Ce4GeC after structural relaxation.

Cell and atoms, written as extended XYZ:
```
12
Lattice="7.151 -2.770 0.000 7.151 2.770 0.000 -2.104 0.000 6.749" Properties=species:S:1:pos:R:3 pbc="T T T"
Ce 0.269 0.442 3.213
Ce -0.782 -0.442 6.587
Ce 2.784 0.563 5.825
Ce 3.836 -0.563 2.450
Ce 8.363 0.563 4.299
Ce 9.415 -0.563 0.925
Ce 12.981 0.442 0.162
Ce 11.930 -0.442 3.537
Ge 6.625 0.515 1.687
Ge 5.574 -0.515 5.062
C 2.524 1.385 3.375
C 3.576 -1.385 0.000
```

Properties
The space-group type is C2/c (15). The value obtained for the energy above the most stable polymorph in this dataset is 0.0000 eV/atom. For the density, the calculation gives 8.0 Mg/m³. For the energy, the calculation gives -6.56 eV/atom. The density of states at the Fermi level is 27.23 states/eV/cell. The calculation puts the formation energy from the elements at -294 meV/atom.



# 4
The following is a DFT calculation (GGA-PBE) of Ce2GeC after structural relaxation.

Cell and atoms, written as extended XYZ:
```
16
Lattice="7.047 0.000 0.000 0.000 4.569 0.000 0.000 0.000 10.520" Properties=species:S:1:pos:R:3 pbc="T T T"
Ce 0.537 1.142 2.192
Ce 1.210 1.142 5.805
Ce 2.314 3.427 0.545
Ce 2.987 3.427 7.452
Ce 4.060 1.142 3.068
Ce 4.734 1.142 9.975
Ce 5.837 3.427 4.715
Ce 6.510 3.427 8.328
Ge 1.279 1.142 9.029
Ge 2.245 3.427 3.769
Ge 4.802 1.142 6.750
Ge 5.769 3.427 1.490
C 0.558 3.427 6.317
C 2.965 1.142 1.057
C 4.082 3.427 9.462
C 6.489 1.142 4.203
```

Properties
The space-group type is Pnma (62). For the density, the calculation gives 7.2 Mg/m³. For the energy, the calculation gives -6.82 eV/atom. The density of states at the Fermi level is 9.45 states/eV/cell. The calculation puts the formation energy from the elements at -389 meV/atom.



Look up the formation energy from the elements of the first one.
-602 meV/atom